<i>
A relaxed structure of NaTa3Si, computed with GGA-PBE.

Output
**Fermi-level density of states**: 0.014 states/eV/cell
**Mass density**: 10.15 Mg/m³
**Total magnetization**: 0.00 μB per formula unit

Cell lengths 4.5971, 4.5971, 4.5971 Å; angles 90.00, 90.00, 90.00 degrees
With the nearest neighbours (Å) after each atom.
Space group Pm-3m (No. 221)
Asymmetric unit:
Na: 0.0000 0.0000 0.0000 (multiplicity 1)  6 Ta 2.30
Ta: 0.0000 0.0000 0.5000 (multiplicity 3)  2 Na 2.30
Si: 0.5000 0.5000 0.5000 (multiplicity 1)  12 Ta 3.25

<ii>
A relaxed structure of NaTa3Si, computed with GGA-PBE.

Output
**Fermi-level density of states**: 1.025 states/eV/cell
**Mass density**: 9.20 Mg/m³
**Total magnetization**: 0.00 μB per formula unit

Cell lengths 4.7506, 4.7506, 4.7506 Å; angles 90.00, 90.00, 90.00 degrees
With the nearest neighbours (Å) after each atom.
Space group Pm-3m (No. 221)
Asymmetric unit:
Na: 0.0000 0.0000 0.0000 (multiplicity 1)  12 Ta 3.36
Ta: 0.0000 0.5000 0.5000 (multiplicity 3)  2 Si 2.38
Si: 0.5000 0.5000 0.5000 (multiplicity 1)  6 Ta 2.38

How do the energies compare? Relative to the most stable structure, in meV per atom: <i> 1272; <ii> 0.

<i>
A relaxed structure of NaTaSi3, computed with GGA-PBE.

Output
**Fermi-level density of states**: 2.379 states/eV/cell
**Mass density**: 4.00 Mg/m³
**Total magnetization**: 0.00 μB per formula unit

Cell lengths 4.9277, 4.9277, 4.9277 Å; angles 90.00, 90.00, 90.00 degrees
With the nearest neighbours (Å) after each atom.
Space group Pm-3m (No. 221)
Asymmetric unit:
Na: 0.0000 0.0000 0.0000 (multiplicity 1)  12 Si 3.48
Ta: 0.5000 0.5000 0.5000 (multiplicity 1)  6 Si 2.46
Si: 0.0000 0.5000 0.5000 (multiplicity 3)  2 Ta 2.46

<ii>
A relaxed structure of NaTaSi3, computed with GGA-PBE.

Output
**Fermi-level density of states**: 5.681 states/eV/cell
**Mass density**: 4.86 Mg/m³
**Total magnetization**: 0.00 μB per formula unit

Cell lengths 4.6172, 4.6172, 4.6172 Å; angles 90.00, 90.00, 90.00 degrees
With the nearest neighbours (Å) after each atom.
Space group Pm-3m (No. 221)
Asymmetric unit:
Na: 0.0000 0.0000 0.0000 (multiplicity 1)  6 Si 2.31
Ta: 0.5000 0.5000 0.5000 (multiplicity 1)  12 Si 3.26
Si: 0.0000 0.0000 0.5000 (multiplicity 3)  2 Na 2.31

How do the energies compare? Relative to the most stable structure, in meV per atom: <i> 0; <ii> 1520.

<i>
A relaxed structure of Na2SiTe, computed with GGA-PBE.

Output
**Fermi-level density of states**: 9.994 states/eV/cell
**Mass density**: 3.37 Mg/m³
**Total magnetization**: 0.00 μB per formula unit

Cell lengths 7.3518, 7.3518, 7.3518 Å; angles 90.00, 90.00, 90.00 degrees
With the nearest neighbours (Å) after each atom.
Space group Fm-3m (No. 225)
Asymmetric unit:
Na: 0.2500 0.2500 0.2500 (multiplicity 8)  4 Te 3.18, 4 Si 3.18
Si: 0.0000 0.0000 0.0000 (multiplicity 4)  8 Na 3.18
Te: 0.0000 0.0000 0.5000 (multiplicity 4)  8 Na 3.18

<ii>
A relaxed structure of Na2SiTe, computed with GGA-PBE.

Output
**Fermi-level density of states**: 10.431 states/eV/cell
**Mass density**: 3.14 Mg/m³
**Total magnetization**: 0.00 μB per formula unit

Cell lengths 8.5014, 8.5014, 5.8931 Å; angles 90.00, 90.00, 90.00 degrees
With the nearest neighbours (Å) after each atom.
Space group I-42d (No. 122)
Asymmetric unit:
Na: 0.2417 0.2500 0.1250 (multiplicity 8)  2 Na 2.95, 2 Si 3.05, 2 Te 3.14
Si: 0.0000 0.0000 0.0000 (multiplicity 4)  2 Te 2.95, 4 Na 3.05
Te: 0.0000 0.0000 0.5000 (multiplicity 4)  2 Si 2.95, 4 Na 3.14

How do the energies compare? Relative to the most stable structure, in meV per atom: <i> 0; <ii> 41.

<i>
A relaxed structure of Na3SiTe, computed with GGA-PBE.

Output
**Fermi-level density of states**: 1.179 states/eV/cell
**Mass density**: 2.18 Mg/m³
**Total magnetization**: 2.97 μB per formula unit

Cell lengths 5.5521, 5.5521, 5.5521 Å; angles 90.00, 90.00, 90.00 degrees
With the nearest neighbours (Å) after each atom.
Space group Pm-3m (No. 221)
Asymmetric unit:
Na: 0.0000 0.0000 0.5000 (multiplicity 3)  2 Si 2.78
Si: 0.0000 0.0000 0.0000 (multiplicity 1)  6 Na 2.78
Te: 0.5000 0.5000 0.5000 (multiplicity 1)  12 Na 3.93

<ii>
A relaxed structure of Na3SiTe, computed with GGA-PBE.

Output
**Fermi-level density of states**: 0.000 states/eV/cell
**Mass density**: 1.84 Mg/m³
**Total magnetization**: 3.00 μB per formula unit

Cell lengths 5.8760, 5.8760, 5.8760 Å; angles 90.00, 90.00, 90.00 degrees
With the nearest neighbours (Å) after each atom.
Space group Pm-3m (No. 221)
Asymmetric unit:
Na: 0.0000 0.0000 0.5000 (multiplicity 3)  2 Te 2.94
Si: 0.5000 0.5000 0.5000 (multiplicity 1)  12 Na 4.15
Te: 0.0000 0.0000 0.0000 (multiplicity 1)  6 Na 2.94

How do the energies compare? Relative to the most stable structure, in meV per atom: <i> 112; <ii> 0.